Here is a geometry-optimized SrZr2Au2 structure from the Alexandria database. Energies are from PBE.

## Properties
ΔH_f (0 K) ... -0.23 eV per atom

abc: 8.3413 8.3413 3.3906
angles: 90.00 90.00 90.00
Closest atoms and distances in Å follow each position.
Space group P4/mbm (No. 127)
One atom of each set of equivalent atoms:
1 Sr 0.0000 0.0000 0.0000 x2  4 Au 3.28, 2 Sr 3.39, 8 Zr 3.56
2 Zr 0.1624 0.3376 0.5000 x4  6 Au 2.97-3.00
3 Au 0.1275 0.6275 0.0000 x4  6 Zr 2.97-3.00, 1 Au 3.01, 2 Sr 3.28



Here is a geometry-optimized LaH4 structure from the Alexandria database. Energies are from PBE.

## Properties
Electronic total energy ... -16.8 eV/cell

abc: 4.5510 4.5510 4.5510
angles: 90.00 90.00 90.00
Closest atoms and distances in Å follow each position.
Space group Pm-3m (No. 221)
One atom of each set of equivalent atoms:
1 La 0.0000 0.0000 0.0000 x1  6 H 2.28
2 H 0.0000 0.0000 0.5000 x3  2 La 2.28
3 H 0.5000 0.5000 0.5000 x1  12 H 3.22



Here is a geometry-optimized MnCrTc structure from the Alexandria database. Energies are from PBE.

## Properties
ΔH_f (0 K) ... 0.12 eV per atom

abc: 3.0172 4.1985 12.1099
angles: 90.00 90.00 90.00
Closest atoms and distances in Å follow each position.
Space group Fmm2 (No. 42)
One atom of each set of equivalent atoms:
1 Mn 0.0000 0.0000 0.0000 x4  2 Cr 2.41, 4 Mn 2.59, 2 Tc 2.59
2 Cr 0.0000 0.0000 0.6551 x4  2 Mn 2.41, 2 Tc 2.57, 4 Cr 2.59
3 Tc 0.0000 0.0000 0.3264 x4  2 Cr 2.57, 4 Tc 2.59, 2 Mn 2.59